# GGA-PBE PrGa2Pd8, relaxed
# - Crystal system: tetragonal
# - Energy of formation: -0.196 eV per atom
# - N(E_F): 7.04 states/eV/cell
data_PrGa2Pd8
_chemical_formula_sum 'Pr1 Ga2 Pd8'
_cell_length_a 5.510
_cell_length_b 5.510
_cell_length_c 7.549
_cell_angle_alpha 90.00
_cell_angle_beta 90.00
_cell_angle_gamma 90.00
_space_group_name_H-M_alt 'P 4/m m m'
_space_group_IT_number 123
_space_group_name_Hall '-P 4 2'
loop_
_atom_site_label
_atom_site_type_symbol
_atom_site_fract_x
_atom_site_fract_y
_atom_site_fract_z
_atom_site_occupancy
Pr1 Pr 0.000 0.000 0.000 1
Ga1 Ga 0.000 0.500 0.500 1
Pd1 Pd 0.255 0.255 0.284 1